1.
# TiTlS2 GGA-PBE optimized geometry
data_TiTlS2
_space_group_name_H-M_alt 'P 1'
_space_group_IT_number 1
_cell_length_a 4.7817
_cell_length_b 4.7817
_cell_length_c 3.3668
_cell_angle_alpha 90.00
_cell_angle_beta 90.00
_cell_angle_gamma 90.00
loop_
_space_group_symop_operation_xyz
'x,y,z'
loop_
_atom_site_label
_atom_site_fract_x
_atom_site_fract_y
_atom_site_fract_z
Ti1 0.0000 0.0000 0.0000
Tl1 0.5000 0.5000 0.0000
S1 0.0000 0.5000 0.5000
S2 0.5000 0.0000 0.5000
# SG = P4/mmm (123)
# Uncorrected formation energy = -0.164 eV/atom
# Density of states at the Fermi level = 2.27 states/eV/cell
# Electronic total energy = -4.793 eV per atom

---

2.
# Ti3TlS GGA-PBE optimized geometry
data_Ti3TlS
_space_group_name_H-M_alt 'P 1'
_space_group_IT_number 1
_cell_length_a 5.1427
_cell_length_b 5.1427
_cell_length_c 5.1427
_cell_angle_alpha 90.00
_cell_angle_beta 90.00
_cell_angle_gamma 90.00
loop_
_space_group_symop_operation_xyz
'x,y,z'
loop_
_atom_site_label
_atom_site_fract_x
_atom_site_fract_y
_atom_site_fract_z
Ti1 0.0000 0.0000 0.5000
Ti2 0.0000 0.5000 0.0000
Ti3 0.5000 0.0000 0.0000
Tl1 0.0000 0.0000 0.0000
S1 0.5000 0.5000 0.5000
# SG = Pm-3m (221)
# Uncorrected formation energy = 1.232 eV/atom
# Density of states at the Fermi level = 8.16 states/eV/cell
# Electronic total energy = -4.804 eV per atom

---

Which of these has the highest electronic total energy?
TiTlS2